VASP calculation (PBE) on crystalline KZnFe2 at its relaxed geometry.

Computed properties:
* ΔH_f (0 K): 2.92 eV per formula unit
* density: 5.08 g cm⁻³
* size of the total moment: 4.946 μB/f.u.

a = 2.7748 Å, b = 2.7748 Å, c = 9.1868 Å
α = 90.00°, β = 90.00°, γ = 90.00°
Space group P4/mmm (No. 123)
Unique sites:
K 0.0000 0.0000 0.0000 [1 per cell]
Zn 0.0000 0.0000 0.5000 [1 per cell]
Fe 0.5000 0.5000 0.3160 [2 per cell]


VASP calculation (PBE) on crystalline Re2PBr at its relaxed geometry.

Computed properties:
* relative energy among the computed polymorphs: 382 meV per atom
* E_form (uncorrected): 680 meV/atom
* density: 10.92 g cm⁻³
* size of the total moment: 0.001 μB/f.u.

a = 2.9049 Å, b = 4.9135 Å, c = 10.2995 Å
α = 90.00°, β = 90.00°, γ = 90.00°
Space group Cmm2 (No. 35)
Unique sites:
Re 0.0000 0.0000 0.0000 [2 per cell]
Re 0.0000 0.5000 0.2109 [2 per cell]
P 0.0000 0.0000 0.4040 [2 per cell]
Br 0.0000 0.5000 0.7574 [2 per cell]


VASP calculation (PBE) on crystalline TmMg3Au at its relaxed geometry.

Computed properties:
* ΔH_f (0 K): -1.79 eV per formula unit
* density: 6.33 g cm⁻³
* size of the total moment: 0.000 μB/f.u.

a = 9.3888 Å, b = 3.8926 Å, c = 12.6014 Å
α = 90.00°, β = 90.00°, γ = 90.00°
Space group Pnma (No. 62)
Unique sites:
Tm 0.1697 0.2500 0.0059 [4 per cell]
Mg 0.0547 0.2500 0.4141 [4 per cell]
Mg 0.0799 0.7500 0.2172 [4 per cell]
Mg 0.1677 0.7500 0.7860 [4 per cell]
Au 0.1524 0.2500 0.6241 [4 per cell]


VASP calculation (PBE) on crystalline Ac7Cd2N2 at its relaxed geometry.

Computed properties:
* E_form (uncorrected): -328 meV/atom
* density: 8.53 g cm⁻³
* size of the total moment: 0.000 μB/f.u.

a = 12.6428 Å, b = 8.0027 Å, c = 7.1020 Å
α = 90.00°, β = 93.72°, γ = 90.00°
Space group C2/m (No. 12)
Unique sites:
Ac 0.0000 0.0000 0.0000 [2 per cell]
Ac 0.0667 0.5000 0.7830 [4 per cell]
Ac 0.2179 0.2711 0.2302 [8 per cell]
Cd 0.0000 0.1718 0.5000 [4 per cell]
N 0.2262 0.0000 0.0412 [4 per cell]


VASP calculation (PBE) on crystalline Nd3Sm4Ho2 at its relaxed geometry.

Computed properties:
* relative energy among the computed polymorphs: 0 meV per atom
* ΔH_f (0 K): 0.14 eV per formula unit
* density: 7.49 g cm⁻³
* size of the total moment: 0.000 μB/f.u.

a = 6.2677 Å, b = 6.2749 Å, c = 9.5837 Å
α = 70.90°, β = 89.88°, γ = 60.05°
Space group P-1 (No. 2)
Unique sites:
Nd 0.0000 0.0000 0.0000 [1 per cell]
Nd 0.4442 0.4442 0.3345 [2 per cell]
Sm 0.1106 0.1127 0.3338 [2 per cell]
Sm 0.3339 0.3315 0.0001 [2 per cell]
Ho 0.2216 0.2231 0.6655 [2 per cell]


VASP calculation (PBE) on crystalline Li8CdPt2 at its relaxed geometry.

Computed properties:
* relative energy among the computed polymorphs: 34 meV per atom
* ΔH_f (0 K): -3.44 eV per formula unit
* density: 4.96 g cm⁻³
* size of the total moment: 0.000 μB/f.u.

a = 8.0563 Å, b = 10.9343 Å, c = 4.2442 Å
α = 90.00°, β = 90.17°, γ = 90.00°
Space group C2/m (No. 12)
Unique sites:
Li 0.0000 0.2393 0.0000 [4 per cell]
Li 0.1518 0.0000 0.9994 [4 per cell]
Li 0.1776 0.3558 0.5010 [8 per cell]
Cd 0.0000 0.5000 0.0000 [2 per cell]
Pt 0.0000 0.1209 0.5000 [4 per cell]


VASP calculation (PBE) on crystalline LiB4C4 at its relaxed geometry.

Computed properties:
* relative energy among the computed polymorphs: 89 meV per atom
* ΔH_f (0 K): 1.60 eV per formula unit
* density: 1.82 g cm⁻³
* size of the total moment: 0.000 μB/f.u.

a = 14.7083 Å, b = 2.6943 Å, c = 9.2894 Å
α = 90.00°, β = 103.26°, γ = 90.00°
Space group Cm (No. 8)
Unique sites:
Li 0.0000 0.0000 0.0000 [2 per cell]
Li 0.2374 0.0000 0.0307 [2 per cell]
B 0.0566 0.5000 0.5783 [2 per cell]
B 0.0848 0.0000 0.3311 [2 per cell]
B 0.1002 0.0000 0.8426 [2 per cell]
B 0.1265 0.5000 0.1047 [2 per cell]
B 0.3734 0.0000 0.8956 [2 per cell]
B 0.4022 0.5000 0.1565 [2 per cell]
B 0.4187 0.5000 0.6692 [2 per cell]
B 0.4469 0.0000 0.4215 [2 per cell]
C 0.0677 0.0000 0.6699 [2 per cell]
C 0.0677 0.5000 0.4102 [2 per cell]
C 0.1169 0.5000 0.9331 [2 per cell]
C 0.1207 0.0000 0.1877 [2 per cell]
C 0.3815 0.5000 0.8113 [2 per cell]
C 0.3867 0.0000 0.0661 [2 per cell]
C 0.4351 0.5000 0.3297 [2 per cell]
C 0.4358 0.0000 0.5898 [2 per cell]


VASP calculation (PBE) on crystalline In2IrPb at its relaxed geometry.

Computed properties:
* ΔH_f (0 K): 1.45 eV per formula unit
* density: 11.69 g cm⁻³
* size of the total moment: 0.000 μB/f.u.

a = 7.0958 Å, b = 7.0958 Å, c = 7.0958 Å
α = 90.00°, β = 90.00°, γ = 90.00°
Space group F-43m (No. 216)
Unique sites:
In 0.0000 0.0000 0.0000 [4 per cell]
In 0.2500 0.2500 0.2500 [4 per cell]
Ir 0.2500 0.2500 0.7500 [4 per cell]
Pb 0.0000 0.0000 0.5000 [4 per cell]


VASP calculation (PBE) on crystalline CeErBr at its relaxed geometry.

Computed properties:
* E_form (uncorrected): -641 meV/atom
* density: 7.44 g cm⁻³
* size of the total moment: 1.439 μB/f.u.

a = 3.6277 Å, b = 3.6277 Å, c = 7.5892 Å
α = 90.00°, β = 90.00°, γ = 120.00°
Space group P3m1 (No. 156)
Unique sites:
Ce 0.0000 0.0000 0.0000 [1 per cell]
Er 0.6667 0.3333 0.3667 [1 per cell]
Br 0.3333 0.6667 0.6597 [1 per cell]


VASP calculation (PBE) on crystalline Ce2BIr3 at its relaxed geometry.

Computed properties:
* ΔH_f (0 K): -3.21 eV per formula unit
* density: 14.25 g cm⁻³
* size of the total moment: 0.000 μB/f.u.

a = 5.5134 Å, b = 5.5134 Å, c = 7.6801 Å
α = 90.00°, β = 90.00°, γ = 120.00°
Space group P6_3/mmc (No. 194)
Unique sites:
Ce 0.3333 0.6667 0.0639 [4 per cell]
B 0.0000 0.0000 0.0000 [2 per cell]
Ir 0.1622 0.3243 0.7500 [6 per cell]


VASP calculation (PBE) on crystalline BaIn2Cl at its relaxed geometry.

Computed properties:
* relative energy among the computed polymorphs: 175 meV per atom
* E_form (uncorrected): -681 meV/atom
* density: 5.47 g cm⁻³
* size of the total moment: 0.000 μB/f.u.

a = 7.8785 Å, b = 7.8785 Å, c = 7.8785 Å
α = 90.00°, β = 90.00°, γ = 90.00°
Space group F-43m (No. 216)
Unique sites:
Ba 0.0000 0.0000 0.0000 [4 per cell]
In 0.0000 0.0000 0.5000 [4 per cell]
In 0.2500 0.2500 0.2500 [4 per cell]
Cl 0.2500 0.2500 0.7500 [4 per cell]


VASP calculation (PBE) on crystalline LiLa2CeTe5 at its relaxed geometry.

Computed properties:
* E_form (uncorrected): -1399 meV/atom
* density: 6.15 g cm⁻³
* size of the total moment: 0.899 μB/f.u.

a = 4.5178 Å, b = 18.9706 Å, c = 13.4009 Å
α = 90.00°, β = 90.00°, γ = 90.00°
Space group Cmc2_1 (No. 36)
Unique sites:
Li 0.0000 0.0532 0.0000 [4 per cell]
La 0.0000 0.3755 0.1580 [4 per cell]
La 0.0000 0.3927 0.7776 [4 per cell]
Ce 0.0000 0.2996 0.4541 [4 per cell]
Te 0.0000 0.0020 0.6843 [4 per cell]
Te 0.0000 0.1338 0.4630 [4 per cell]
Te 0.0000 0.1863 0.1179 [4 per cell]
Te 0.0000 0.2132 0.7910 [4 per cell]
Te 0.0000 0.4530 0.3924 [4 per cell]


VASP calculation (PBE) on crystalline Al2CdPd6 at its relaxed geometry.

Computed properties:
* ΔH_f (0 K): -5.18 eV per formula unit
* density: 9.61 g cm⁻³
* size of the total moment: 0.000 μB/f.u.

a = 10.2127 Å, b = 4.2543 Å, c = 8.1829 Å
α = 90.00°, β = 128.54°, γ = 90.00°
Space group C2/m (No. 12)
Unique sites:
Al 0.1635 0.0000 0.3269 [4 per cell]
Cd 0.0000 0.5000 0.0000 [2 per cell]
Pd 0.0223 0.5000 0.3479 [4 per cell]
Pd 0.1619 0.0000 0.0000 [4 per cell]
Pd 0.1743 0.0000 0.6522 [4 per cell]


VASP calculation (PBE) on crystalline RbZn2IrRh at its relaxed geometry.

Computed properties:
* ΔH_f (0 K): 1.82 eV per formula unit
* density: 7.05 g cm⁻³
* size of the total moment: 0.000 μB/f.u.

a = 4.9832 Å, b = 4.9832 Å, c = 4.8492 Å
α = 90.00°, β = 90.00°, γ = 90.00°
Space group P4/mmm (No. 123)
Unique sites:
Rb 0.0000 0.0000 0.0000 [1 per cell]
Zn 0.0000 0.5000 0.5000 [2 per cell]
Ir 0.5000 0.5000 0.5000 [1 per cell]
Rh 0.5000 0.5000 0.0000 [1 per cell]


VASP calculation (PBE) on crystalline NbHgTe2N at its relaxed geometry.

Computed properties:
* relative energy among the computed polymorphs: 0 meV per atom
* E_form (uncorrected): 129 meV/atom
* density: 7.48 g cm⁻³
* size of the total moment: 0.000 μB/f.u.

a = 5.6300 Å, b = 5.6300 Å, c = 3.9398 Å
α = 90.00°, β = 90.00°, γ = 90.00°
Space group P4/mmm (No. 123)
Unique sites:
Nb 0.0000 0.0000 0.0000 [1 per cell]
Hg 0.5000 0.5000 0.5000 [1 per cell]
Te 0.0000 0.5000 0.0000 [2 per cell]
N 0.0000 0.0000 0.5000 [1 per cell]


VASP calculation (PBE) on crystalline MnHgPt at its relaxed geometry.

Computed properties:
* relative energy among the computed polymorphs: 32 meV per atom
* ΔH_f (0 K): -0.11 eV per formula unit
* density: 14.51 g cm⁻³
* size of the total moment: 4.028 μB/f.u.

a = 2.9968 Å, b = 2.9968 Å, c = 11.4861 Å
α = 90.00°, β = 90.00°, γ = 90.00°
Space group I4mm (No. 107)
Unique sites:
Mn 0.0000 0.0000 0.0000 [2 per cell]
Hg 0.0000 0.0000 0.3235 [2 per cell]
Pt 0.0000 0.0000 0.6394 [2 per cell]


VASP calculation (PBE) on crystalline Ti5AlCu at its relaxed geometry.

Computed properties:
* ΔH_f (0 K): 0.69 eV per formula unit
* density: 4.68 g cm⁻³
* size of the total moment: 0.000 μB/f.u.

a = 10.0525 Å, b = 8.1633 Å, c = 6.8184 Å
α = 90.00°, β = 123.21°, γ = 90.00°
Space group C2/c (No. 15)
Unique sites:
Ti 0.0000 0.0639 0.2500 [4 per cell]
Ti 0.0683 0.2479 0.9604 [8 per cell]
Ti 0.2460 0.0069 0.7586 [8 per cell]
Al 0.0000 0.4298 0.2500 [4 per cell]
Cu 0.2500 0.2500 0.5000 [4 per cell]


VASP calculation (PBE) on crystalline LaErCCl at its relaxed geometry.

Computed properties:
* E_form (uncorrected): -1064 meV/atom
* density: 6.94 g cm⁻³
* size of the total moment: 0.000 μB/f.u.

a = 3.6795 Å, b = 3.6795 Å, c = 21.6523 Å
α = 90.00°, β = 90.00°, γ = 120.00°
Space group R3m (No. 160, hexagonal axes)
Unique sites:
La 0.0000 0.0000 0.0000 [3 per cell]
Er 0.0000 0.0000 0.7923 [3 per cell]
C 0.0000 0.0000 0.4040 [3 per cell]
Cl 0.0000 0.0000 0.2185 [3 per cell]


VASP calculation (PBE) on crystalline Cr2SiW at its relaxed geometry.

Computed properties:
* E_form (uncorrected): 246 meV/atom
* density: 9.77 g cm⁻³
* size of the total moment: 0.000 μB/f.u.

a = 2.7649 Å, b = 2.7649 Å, c = 24.3358 Å
α = 90.00°, β = 90.00°, γ = 120.00°
Space group R3m (No. 160, hexagonal axes)
Unique sites:
Cr 0.0000 0.0000 0.0000 [3 per cell]
Cr 0.0000 0.0000 0.2615 [3 per cell]
Si 0.0000 0.0000 0.5147 [3 per cell]
W 0.0000 0.0000 0.7581 [3 per cell]


VASP calculation (PBE) on crystalline Li5In2Hg at its relaxed geometry.

Computed properties:
* ΔH_f (0 K): -2.31 eV per formula unit
* density: 5.23 g cm⁻³
* size of the total moment: 0.000 μB/f.u.

a = 4.6282 Å, b = 4.6282 Å, c = 13.7886 Å
α = 90.00°, β = 90.00°, γ = 90.00°
Space group I4/mmm (No. 139)
Unique sites:
Li 0.0000 0.0000 0.0000 [2 per cell]
Li 0.0000 0.5000 0.1202 [8 per cell]
In 0.0000 0.0000 0.2458 [4 per cell]
Hg 0.0000 0.0000 0.5000 [2 per cell]